Computed, not measured: crystalline PmNiHg at its relaxed geometry at the GGA-PBE level of DFT.

Crystal system: cubic
Energy above the lowest structure with this stoichiometry (meV/atom): 162
Space group: No. 216
ΔE_f (eV per atom): -0.269
Total energy (eV per atom): -3.88

a = 4.6321 Å, b = 4.6321 Å, c = 4.6321 Å
α = 60.00°, β = 60.00°, γ = 60.00°
Closest atoms and distances in Å follow each position.
Fractional positions:
Ni 0.2500 0.2500 0.2500  4 Hg 2.84, 4 Pm 2.84
Hg 0.5000 0.5000 0.5000  4 Ni 2.84
Pm 0.0000 0.0000 0.0000  4 Ni 2.84